No. 1
Here is a geometry-optimized NaTh2Ag6 structure from Alexandria. Energies are from GGA-PBE.

Unit cell a=8.5073 b=8.5073 c=3.3115 alpha=90.00 beta=90.00 gamma=120.00
Space group P6/mmm (No. 191)
Unique sites:
1 Na 0.0000 0.0000 0.0000 [1 per cell]
2 Th 0.3333 0.6667 0.0000 [2 per cell]
3 Ag 0.0000 0.3306 0.5000 [6 per cell]

theoretical density	9.07	g/cm3
DFT formation energy	-0.057	eV/atom

No. 2
Here is a geometry-optimized Dy3Tm2Ru2 structure from Alexandria. Energies are from GGA-PBE.

Unit cell a=11.835 b=3.875 c=8.371 alpha=90.00 beta=113.26 gamma=90.00
Space group C2/m (No. 12)
Unique sites:
1 Dy 0.000 0.000 0.000 [2 per cell]
2 Dy 0.121 0.000 0.430 [4 per cell]
3 Tm 0.166 0.500 0.815 [4 per cell]
4 Ru 0.180 0.500 0.220 [4 per cell]

theoretical density	9.67	g/cm3
DFT formation energy	-0.349	eV/atom

Question: Number 2 is which compound?
Answer: Dy3Tm2Ru2

Please write out number 1 again, unchanged.
Here is a geometry-optimized NaTh2Ag6 structure from Alexandria. Energies are from GGA-PBE.

Unit cell a=8.5073 b=8.5073 c=3.3115 alpha=90.00 beta=90.00 gamma=120.00
Space group P6/mmm (No. 191)
Unique sites:
1 Na 0.0000 0.0000 0.0000 [1 per cell]
2 Th 0.3333 0.6667 0.0000 [2 per cell]
3 Ag 0.0000 0.3306 0.5000 [6 per cell]

theoretical density	9.07	g/cm3
DFT formation energy	-0.057	eV/atom

Question: Among the records above, which one has the highest DFT formation energy?
Answer: NaTh2Ag6